First-principles (GGA+U) data for crystalline WSe3O at its relaxed geometry, as listed in the Alexandria database.

magnetic moment: 0.03 Bohr magnetons per cell
relative energy among the computed polymorphs: 0.248 eV per atom
DFT total energy: -17.74 eV for the cell shown

a b c (Å): 4.906 4.906 4.906
angles (deg): 90.00 90.00 90.00
Atoms (fractional coordinates):
W 0.000 0.000 0.000
Se 0.000 0.000 0.500
Se 0.000 0.500 0.000
Se 0.500 0.000 0.000
O 0.500 0.500 0.500